K2CrBr | PBE | optimized geometry

The electronic total energy comes out at -0.1268 Ha/atom. The formation energy without anion corrections is -1.8 kcal/mol of atoms. The density of states at the Fermi level comes out at 0.24 states/eV per cell. For the polymorph energy (0 for the lowest one), the calculation gives 103.0 meV/atom.

Structure (POSCAR):
```
K2CrBr
1.0
4.931 0.000 0.000
0.000 4.931 0.000
0.000 0.000 7.086
K Cr Br
2 1 1
Cartesian
0.000 0.000 0.000 K
2.466 2.466 3.498 K
2.466 2.466 7.031 Cr
0.000 0.000 3.513 Br
```



K2CrBr | PBE | optimized geometry

The electronic total energy comes out at -0.1275 Ha/atom. The formation energy without anion corrections is -2.2 kcal/mol of atoms. The density of states at the Fermi level comes out at 0.57 states/eV per cell. For the polymorph energy (0 for the lowest one), the calculation gives 83.3 meV/atom.

Structure (POSCAR):
```
K2CrBr
1.0
4.223 -4.224 0.000
4.223 4.224 0.000
-0.009 0.000 4.087
K Cr Br
2 1 1
Cartesian
2.111 2.112 0.000 K
2.111 -2.112 0.000 K
-0.004 0.000 2.043 Cr
4.218 0.000 2.043 Br
```



K2CrBr6 | PBE | optimized geometry

The electronic total energy comes out at -0.1271 Ha/atom. The formation energy without anion corrections is -23.7 kcal/mol of atoms. The density of states at the Fermi level comes out at 31.23 states/eV per cell.

Structure (POSCAR):
```
K2CrBr6
1.0
7.043 0.000 0.000
0.000 7.043 0.000
0.000 0.000 13.782
K Cr Br
4 2 12
Cartesian
0.000 0.000 2.321 K
0.000 0.000 11.461 K
3.521 3.521 4.570 K
3.521 3.521 9.212 K
0.000 0.000 6.891 Cr
3.521 3.521 0.000 Cr
1.238 1.238 5.118 Br
1.238 1.238 8.665 Br
1.763 1.763 0.000 Br
1.758 5.284 6.891 Br
2.283 4.759 1.774 Br
2.283 4.759 12.009 Br
4.759 2.283 1.774 Br
4.759 2.283 12.009 Br
5.284 1.758 6.891 Br
5.280 5.280 0.000 Br
5.805 5.805 5.118 Br
5.805 5.805 8.665 Br
```



Repeat the third record exactly.
K2CrBr6 | PBE | optimized geometry

The electronic total energy comes out at -0.1271 Ha/atom. The formation energy without anion corrections is -23.7 kcal/mol of atoms. The density of states at the Fermi level comes out at 31.23 states/eV per cell.

Structure (POSCAR):
```
K2CrBr6
1.0
7.043 0.000 0.000
0.000 7.043 0.000
0.000 0.000 13.782
K Cr Br
4 2 12
Cartesian
0.000 0.000 2.321 K
0.000 0.000 11.461 K
3.521 3.521 4.570 K
3.521 3.521 9.212 K
0.000 0.000 6.891 Cr
3.521 3.521 0.000 Cr
1.238 1.238 5.118 Br
1.238 1.238 8.665 Br
1.763 1.763 0.000 Br
1.758 5.284 6.891 Br
2.283 4.759 1.774 Br
2.283 4.759 12.009 Br
4.759 2.283 1.774 Br
4.759 2.283 12.009 Br
5.284 1.758 6.891 Br
5.280 5.280 0.000 Br
5.805 5.805 5.118 Br
5.805 5.805 8.665 Br
```